## Ni3GeH (GGA-PBE)

Data for a relaxed Ni3GeH crystal.

- space group = R-3, No. 148

Cell lengths 6.471, 6.471, 6.471 Å; angles 41.07, 41.07, 41.07 degrees
Fractional positions:
Ni 0.107 0.767 0.448
Ni 0.767 0.448 0.107
Ni 0.448 0.107 0.767
Ni 0.893 0.233 0.552
Ni 0.233 0.552 0.893
Ni 0.552 0.893 0.233
H 0.154 0.154 0.154
H 0.846 0.846 0.846
Ge 0.666 0.666 0.666
Ge 0.334 0.334 0.334

## Ni3GeH (GGA-PBE)

Data for a relaxed Ni3GeH crystal.

- space group = Cmcm, No. 63

Cell lengths 4.719, 4.719, 5.282 Å; angles 90.00, 90.00, 116.96 degrees
Fractional positions:
Ni 0.520 0.989 0.250
Ni 0.000 0.000 0.500
Ni 0.000 0.000 0.000
Ni 0.480 0.011 0.750
Ni 0.989 0.520 0.750
Ni 0.011 0.480 0.250
Ge 0.484 0.516 0.750
Ge 0.516 0.484 0.250
H 0.866 0.134 0.750
H 0.134 0.866 0.250

## Ni5GeH (GGA-PBE)

Data for a relaxed Ni5GeH crystal.

- space group = P4/mmm, No. 123

Cell lengths 3.517, 3.517, 5.906 Å; angles 90.00, 90.00, 90.00 degrees
Fractional positions:
H 0.500 0.500 0.000
Ge 0.000 0.000 0.500
Ni 0.500 0.000 0.198
Ni 0.500 0.500 0.500
Ni 0.500 0.000 0.802
Ni 0.000 0.500 0.198
Ni 0.000 0.500 0.802

## Ni3GeH (GGA-PBE)

Data for a relaxed Ni3GeH crystal.

- space group = Imma, No. 74

Cell lengths 16.701, 7.926, 7.926 Å; angles 154.06, 162.19, 17.81 degrees
Fractional positions:
Ni 0.434 0.382 0.618
Ni 0.062 0.627 0.373
Ni 0.192 0.865 0.135
Ni 0.808 0.135 0.865
Ni 0.566 0.618 0.382
Ni 0.938 0.373 0.627
H 0.062 0.127 0.873
H 0.938 0.873 0.127
Ge 0.325 0.099 0.901
Ge 0.675 0.901 0.099

## Ni4GeH (GGA-PBE)

Data for a relaxed Ni4GeH crystal.

- space group = C2/c, No. 15

Cell lengths 4.413, 5.124, 5.917 Å; angles 105.54, 111.84, 90.01 degrees
Fractional positions:
Ni 0.505 0.948 0.197
Ni 0.285 0.649 0.391
Ni 0.692 0.447 0.196
Ni 0.893 0.850 0.608
Ni 0.308 0.553 0.804
Ni 0.107 0.150 0.392
Ni 0.715 0.351 0.609
Ni 0.495 0.052 0.803
Ge 0.882 0.750 0.000
Ge 0.118 0.250 0.000
H 0.000 0.500 0.500
H 0.500 0.000 0.500

## Ni2GeH (GGA-PBE)

Data for a relaxed Ni2GeH crystal.

- space group = P4/nmm, No. 129

Cell lengths 3.568, 3.568, 6.412 Å; angles 90.00, 90.00, 90.00 degrees
Fractional positions:
Ni 0.000 0.500 0.697
Ni 0.000 0.000 0.000
Ni 0.500 0.000 0.303
Ni 0.500 0.500 0.000
Ge 0.000 0.500 0.323
Ge 0.500 0.000 0.677
H 0.500 0.000 0.045
H 0.000 0.500 0.955

no.,energy above the lowest structure with this stoichiometry (kcal/mol of atoms)
1,4.75
2,5.74
3,0.78
4,2.13
5,0.00
6,1.85